[1]
{
  "formula": "Na2TcHgCl",
  "functional": "meta-GGA SCAN",
  "state": "PBEsol geometry",
  "lattice_angstrom": [[5.606, 0.000, 0.000], [0.000, 5.606, 0.000], [0.000, 0.000, 5.144]],
  "species": ["Na", "Na", "Tc", "Hg", "Cl"],
  "fractional_positions": [[0.000, 0.500, 0.000], [0.500, 0.000, 0.000], [0.000, 0.000, 0.500], [0.000, 0.000, 0.000], [0.500, 0.500, 0.500]],
  "magmom_total_mub_per_atom": 0.700,
  "sg": "No. 123",
  "dos_ef_per_ev_atom": 0.389,
  "dft_energy_ev_per_atom": -23.607
}

=====

[2]
{
  "formula": "NbHg2Cl",
  "functional": "meta-GGA SCAN",
  "state": "PBEsol geometry",
  "lattice_angstrom": [[6.999, 0.000, 0.000], [0.000, 6.999, 0.000], [0.000, 0.000, 6.999]],
  "species": ["Nb", "Nb", "Nb", "Nb", "Hg", "Hg", "Hg", "Hg", "Hg", "Hg", "Hg", "Hg", "Cl", "Cl", "Cl", "Cl"],
  "fractional_positions": [[0.000, 0.000, 0.000], [0.000, 0.500, 0.500], [0.500, 0.000, 0.500], [0.500, 0.500, 0.000], [0.250, 0.250, 0.250], [0.250, 0.250, 0.750], [0.250, 0.750, 0.250], [0.250, 0.750, 0.750], [0.750, 0.250, 0.250], [0.750, 0.250, 0.750], [0.750, 0.750, 0.250], [0.750, 0.750, 0.750], [0.000, 0.000, 0.500], [0.000, 0.500, 0.000], [0.500, 0.000, 0.000], [0.500, 0.500, 0.500]],
  "magmom_total_mub_per_atom": 0.898,
  "sg": "No. 225",
  "dos_ef_per_ev_atom": 1.036,
  "dft_energy_ev_per_atom": -43.811
}

=====

[3]
{
  "formula": "NiHg2Cl",
  "functional": "meta-GGA SCAN",
  "state": "PBEsol geometry",
  "lattice_angstrom": [[3.230, 0.000, 0.000], [0.000, 5.989, 0.000], [0.000, 0.000, 8.615]],
  "species": ["Ni", "Ni", "Hg", "Hg", "Hg", "Hg", "Cl", "Cl"],
  "fractional_positions": [[0.000, 0.000, 0.000], [0.500, 0.500, 0.500], [0.000, 0.500, 0.271], [0.000, 0.500, 0.729], [0.500, 0.000, 0.229], [0.500, 0.000, 0.771], [0.000, 0.000, 0.500], [0.500, 0.500, 0.000]],
  "magmom_total_mub_per_atom": 0.273,
  "sg": "No. 71",
  "dos_ef_per_ev_atom": 0.494,
  "dft_energy_ev_per_atom": -39.999
}

=====

[4]
{
  "formula": "NiHg2Cl",
  "functional": "meta-GGA SCAN",
  "state": "PBEsol geometry",
  "lattice_angstrom": [[3.404, 0.000, 0.000], [-1.702, 2.948, 0.000], [0.000, 0.000, 23.176]],
  "species": ["Ni", "Ni", "Ni", "Hg", "Hg", "Hg", "Hg", "Hg", "Hg", "Cl", "Cl", "Cl"],
  "fractional_positions": [[0.000, 0.000, 0.000], [0.333, 0.667, 0.667], [0.667, 0.333, 0.333], [0.000, 0.000, 0.259], [0.000, 0.000, 0.741], [0.333, 0.667, 0.407], [0.333, 0.667, 0.926], [0.667, 0.333, 0.074], [0.667, 0.333, 0.593], [0.000, 0.000, 0.500], [0.333, 0.667, 0.167], [0.667, 0.333, 0.833]],
  "magmom_total_mub_per_atom": 0.254,
  "sg": "No. 166",
  "dos_ef_per_ev_atom": 1.115,
  "dft_energy_ev_per_atom": -40.118
}

=====

[5]
{
  "formula": "NiHg2Cl",
  "functional": "meta-GGA SCAN",
  "state": "PBEsol geometry",
  "lattice_angstrom": [[3.138, 0.000, 0.000], [0.000, 4.098, 0.000], [0.000, 0.000, 12.491]],
  "species": ["Ni", "Ni", "Hg", "Hg", "Hg", "Hg", "Cl", "Cl"],
  "fractional_positions": [[0.000, 0.000, 0.000], [0.000, 0.500, 0.500], [0.000, 0.000, 0.792], [0.000, 0.500, 0.292], [0.500, 0.000, 0.448], [0.500, 0.500, 0.948], [0.500, 0.000, 0.137], [0.500, 0.500, 0.637]],
  "magmom_total_mub_per_atom": 0.238,
  "sg": "No. 38",
  "dos_ef_per_ev_atom": 0.433,
  "dft_energy_ev_per_atom": -40.183
}

=====

[6]
{
  "formula": "NiHg2Cl",
  "functional": "meta-GGA SCAN",
  "state": "PBEsol geometry",
  "lattice_angstrom": [[3.576, 0.000, 0.000], [0.000, 3.576, 0.000], [0.000, 0.000, 6.775]],
  "species": ["Ni", "Hg", "Hg", "Cl"],
  "fractional_positions": [[0.000, 0.000, 0.000], [0.000, 0.000, 0.632], [0.500, 0.500, 0.957], [0.500, 0.500, 0.417]],
  "magmom_total_mub_per_atom": 0.000,
  "sg": "No. 99",
  "dos_ef_per_ev_atom": 0.523,
  "dft_energy_ev_per_atom": -39.997
}

=====

[7]
{
  "formula": "NiHg2Cl",
  "functional": "meta-GGA SCAN",
  "state": "PBEsol geometry",
  "lattice_angstrom": [[3.376, 0.000, 0.000], [-1.688, 2.923, 0.000], [0.000, 0.000, 24.493]],
  "species": ["Ni", "Ni", "Ni", "Hg", "Hg", "Hg", "Hg", "Hg", "Hg", "Cl", "Cl", "Cl"],
  "fractional_positions": [[0.000, 0.000, 0.000], [0.333, 0.667, 0.667], [0.667, 0.333, 0.333], [0.000, 0.000, 0.259], [0.000, 0.000, 0.494], [0.333, 0.667, 0.161], [0.333, 0.667, 0.925], [0.667, 0.333, 0.592], [0.667, 0.333, 0.828], [0.000, 0.000, 0.714], [0.333, 0.667, 0.381], [0.667, 0.333, 0.048]],
  "magmom_total_mub_per_atom": 0.286,
  "sg": "No. 160",
  "dos_ef_per_ev_atom": 0.654,
  "dft_energy_ev_per_atom": -40.279
}

=====

[8]
{
  "formula": "Hg2ClO",
  "functional": "meta-GGA SCAN",
  "state": "PBEsol geometry",
  "lattice_angstrom": [[5.902, -3.496, 0.000], [5.902, 3.496, 0.000], [-2.545, 0.000, 9.158]],
  "species": ["Hg", "Hg", "Hg", "Hg", "Hg", "Hg", "Hg", "Hg", "Cl", "Cl", "Cl", "Cl", "O", "O", "O", "O"],
  "fractional_positions": [[0.000, 0.500, 0.500], [0.156, 0.844, 0.750], [0.228, 0.698, 0.108], [0.302, 0.772, 0.392], [0.500, 0.000, 0.000], [0.698, 0.228, 0.608], [0.772, 0.302, 0.892], [0.844, 0.156, 0.250], [0.207, 0.457, 0.872], [0.457, 0.207, 0.372], [0.543, 0.793, 0.628], [0.793, 0.543, 0.128], [0.049, 0.776, 0.533], [0.224, 0.951, 0.967], [0.776, 0.049, 0.033], [0.951, 0.224, 0.467]],
  "magmom_total_mub_per_atom": 0.000,
  "sg": "No. 15",
  "dos_ef_per_ev_atom": 0.000,
  "dft_energy_ev_per_atom": -38.064
}

=====

[9]
{
  "formula": "Hg5Cl2O4",
  "functional": "meta-GGA SCAN",
  "state": "PBEsol geometry",
  "lattice_angstrom": [[-3.042, 5.786, 5.926], [3.042, -5.786, 5.926], [3.042, 5.786, -5.926]],
  "species": ["Hg", "Hg", "Hg", "Hg", "Hg", "Hg", "Hg", "Hg", "Hg", "Hg", "Cl", "Cl", "Cl", "Cl", "O", "O", "O", "O", "O", "O", "O", "O"],
  "fractional_positions": [[0.090, 0.750, 0.340], [0.140, 0.214, 0.354], [0.250, 0.250, 0.000], [0.360, 0.714, 0.074], [0.410, 0.750, 0.660], [0.590, 0.250, 0.340], [0.640, 0.286, 0.926], [0.750, 0.750, 0.000], [0.860, 0.786, 0.646], [0.910, 0.250, 0.660], [0.108, 0.727, 0.835], [0.392, 0.227, 0.620], [0.608, 0.773, 0.380], [0.892, 0.273, 0.165], [0.027, 0.980, 0.656], [0.176, 0.520, 0.048], [0.324, 0.371, 0.344], [0.473, 0.129, 0.952], [0.527, 0.871, 0.048], [0.676, 0.629, 0.656], [0.824, 0.480, 0.952], [0.973, 0.020, 0.344]],
  "magmom_total_mub_per_atom": 0.000,
  "sg": "No. 72",
  "dos_ef_per_ev_atom": 0.027,
  "dft_energy_ev_per_atom": -35.125
}

=====

[10]
{
  "formula": "Hg3PClO4",
  "functional": "meta-GGA SCAN",
  "state": "PBEsol geometry",
  "lattice_angstrom": [[8.339, 0.000, 0.000], [0.000, 8.339, 0.000], [0.000, 0.000, 8.339]],
  "species": ["Hg", "Hg", "Hg", "Hg", "Hg", "Hg", "Hg", "Hg", "Hg", "Hg", "Hg", "Hg", "P", "P", "P", "P", "Cl", "Cl", "Cl", "Cl", "O", "O", "O", "O", "O", "O", "O", "O", "O", "O", "O", "O", "O", "O", "O", "O"],
  "fractional_positions": [[0.049, 0.398, 0.350], [0.102, 0.650, 0.549], [0.150, 0.951, 0.898], [0.350, 0.049, 0.398], [0.398, 0.350, 0.049], [0.451, 0.602, 0.850], [0.549, 0.102, 0.650], [0.602, 0.850, 0.451], [0.650, 0.549, 0.102], [0.850, 0.451, 0.602], [0.898, 0.150, 0.951], [0.951, 0.898, 0.150], [0.023, 0.523, 0.977], [0.477, 0.477, 0.477], [0.523, 0.977, 0.023], [0.977, 0.023, 0.523], [0.229, 0.771, 0.271], [0.271, 0.229, 0.771], [0.729, 0.729, 0.729], [0.771, 0.271, 0.229], [0.084, 0.906, 0.625], [0.094, 0.125, 0.416], [0.125, 0.416, 0.094], [0.129, 0.629, 0.871], [0.371, 0.371, 0.371], [0.375, 0.584, 0.594], [0.406, 0.875, 0.916], [0.416, 0.094, 0.125], [0.584, 0.594, 0.375], [0.594, 0.375, 0.584], [0.625, 0.084, 0.906], [0.629, 0.871, 0.129], [0.871, 0.129, 0.629], [0.875, 0.916, 0.406], [0.906, 0.625, 0.084], [0.916, 0.406, 0.875]],
  "magmom_total_mub_per_atom": 0.000,
  "sg": "No. 198",
  "dos_ef_per_ev_atom": 0.000,
  "dft_energy_ev_per_atom": -28.776
}

=====

[11]
{
  "formula": "HgPb2Cl2O2",
  "functional": "meta-GGA SCAN",
  "state": "PBEsol geometry",
  "lattice_angstrom": [[11.849, 0.000, 0.000], [0.000, 3.885, 0.000], [-4.356, 0.000, 6.551]],
  "species": ["Hg", "Hg", "Pb", "Pb", "Pb", "Pb", "Cl", "Cl", "Cl", "Cl", "O", "O", "O", "O"],
  "fractional_positions": [[0.000, 0.000, 0.000], [0.500, 0.500, 0.000], [0.176, 0.000, 0.752], [0.324, 0.500, 0.248], [0.676, 0.500, 0.752], [0.824, 0.000, 0.248], [0.061, 0.500, 0.334], [0.439, 0.000, 0.666], [0.561, 0.000, 0.334], [0.939, 0.500, 0.666], [0.193, 0.000, 0.066], [0.307, 0.500, 0.934], [0.693, 0.500, 0.066], [0.807, 0.000, 0.934]],
  "magmom_total_mub_per_atom": 0.000,
  "sg": "No. 12",
  "dos_ef_per_ev_atom": 0.000,
  "dft_energy_ev_per_atom": -36.496
}

=====

[12]
{
  "formula": "Rb3Hg2S3ClO12",
  "functional": "meta-GGA SCAN",
  "state": "PBEsol geometry",
  "lattice_angstrom": [[7.905, 0.000, 0.000], [0.000, 9.834, 0.000], [-3.590, 0.000, 9.307]],
  "species": ["Rb", "Rb", "Rb", "Rb", "Rb", "Rb", "Hg", "Hg", "Hg", "Hg", "S", "S", "S", "S", "S", "S", "Cl", "Cl", "O", "O", "O", "O", "O", "O", "O", "O", "O", "O", "O", "O", "O", "O", "O", "O", "O", "O", "O", "O", "O", "O", "O", "O"],
  "fractional_positions": [[0.098, 0.000, 0.268], [0.320, 0.369, 0.132], [0.324, 0.195, 0.692], [0.676, 0.695, 0.308], [0.680, 0.869, 0.868], [0.902, 0.500, 0.732], [0.241, 0.822, 0.958], [0.266, 0.602, 0.495], [0.734, 0.102, 0.505], [0.759, 0.322, 0.042], [0.026, 0.652, 0.108], [0.092, 0.857, 0.608], [0.449, 0.540, 0.860], [0.551, 0.040, 0.140], [0.908, 0.357, 0.392], [0.974, 0.152, 0.892], [0.480, 0.445, 0.481], [0.520, 0.945, 0.519], [0.015, 0.004, 0.906], [0.017, 0.699, 0.958], [0.036, 0.997, 0.556], [0.048, 0.280, 0.362], [0.108, 0.232, 0.855], [0.133, 0.791, 0.483], [0.213, 0.675, 0.211], [0.267, 0.864, 0.734], [0.270, 0.533, 0.740], [0.409, 0.094, 0.187], [0.434, 0.615, 0.984], [0.492, 0.392, 0.909], [0.508, 0.892, 0.091], [0.566, 0.115, 0.016], [0.591, 0.594, 0.813], [0.730, 0.033, 0.260], [0.733, 0.364, 0.266], [0.787, 0.175, 0.789], [0.867, 0.291, 0.517], [0.892, 0.732, 0.145], [0.952, 0.780, 0.638], [0.964, 0.497, 0.444], [0.983, 0.199, 0.042], [0.985, 0.504, 0.094]],
  "magmom_total_mub_per_atom": 0.000,
  "sg": "No. 4",
  "dos_ef_per_ev_atom": 0.000,
  "dft_energy_ev_per_atom": -16.392
}